Entry 1
TaRh3I: optimized geometry, PBE.

Results
DOS(E_F), states/eV per cell: 8.48
Space-group type: Pm-3m (221)

a b c (Å): 4.7492 4.7492 4.7492
angles (deg): 90.00 90.00 90.00
Element x y z (fractional)
Rh1 0.0000 0.5000 0.0000
Rh2 0.0000 0.0000 0.5000
Rh3 0.5000 0.0000 0.0000
Ta1 0.5000 0.5000 0.5000
I1 0.0000 0.0000 0.0000

Entry 2
TaRh3I: optimized geometry, PBE.

Results
DOS(E_F), states/eV per cell: 3.62
Space-group type: Pm-3m (221)

a b c (Å): 4.8063 4.8063 4.8063
angles (deg): 90.00 90.00 90.00
Element x y z (fractional)
Rh1 0.0000 0.5000 0.0000
Rh2 0.5000 0.0000 0.0000
Rh3 0.0000 0.0000 0.5000
I1 0.5000 0.5000 0.5000
Ta1 0.0000 0.0000 0.0000

List of relative energies, unit kJ/mol of atoms: entry 1 56.9; entry 2 0.0

Entry 1
TaRh2I: optimized geometry, PBE.

Results
DOS(E_F), states/eV per cell: 5.97
Space-group type: Fm-3m (225)

a b c (Å): 4.6655 4.6655 4.6655
angles (deg): 60.00 60.00 60.00
Element x y z (fractional)
Rh1 0.7500 0.7500 0.7500
Rh2 0.2500 0.2500 0.2500
Ta1 0.5000 0.5000 0.5000
I1 0.0000 0.0000 0.0000

Entry 2
TaRh2I: optimized geometry, PBE.

Results
DOS(E_F), states/eV per cell: 1.24
Space-group type: I-42d (122)

a b c (Å): 6.1449 6.1449 6.8639
angles (deg): 63.41 63.41 90.00
Element x y z (fractional)
Ta1 0.0000 0.0000 0.0000
Ta2 0.7500 0.2500 0.5000
Rh1 0.8750 0.9027 0.7500
Rh2 0.0973 0.6250 0.2500
Rh3 0.6527 0.1250 0.2500
Rh4 0.3750 0.3473 0.7500
I1 0.5000 0.5000 0.0000
I2 0.2500 0.7500 0.5000

List of relative energies, unit kJ/mol of atoms: entry 1 7.6; entry 2 0.0

Entry 1
TaTeRhI2: optimized geometry, PBE.

Results
DOS(E_F), states/eV per cell: 8.44
Space-group type: P4/mmm (123)

a b c (Å): 5.1780 5.1780 5.2284
angles (deg): 90.00 90.00 90.00
Element x y z (fractional)
Ta1 0.5000 0.5000 0.5000
Rh1 0.0000 0.0000 0.0000
I1 0.5000 0.0000 0.0000
I2 0.0000 0.5000 0.0000
Te1 0.0000 0.0000 0.5000

Entry 2
TaTeRhI2: optimized geometry, PBE.

Results
DOS(E_F), states/eV per cell: 17.48
Space-group type: P4/mmm (123)

a b c (Å): 5.4924 5.4924 5.3814
angles (deg): 90.00 90.00 90.00
Element x y z (fractional)
Rh1 0.5000 0.5000 0.5000
Ta1 0.0000 0.0000 0.0000
I1 0.5000 0.0000 0.0000
I2 0.0000 0.5000 0.0000
Te1 0.0000 0.0000 0.5000

List of relative energies, unit kJ/mol of atoms: entry 1 13.6; entry 2 0.0

Entry 1
TcRh2I: optimized geometry, PBE.

Results
DOS(E_F), states/eV per cell: 6.48
Space-group type: Fm-3m (225)

a b c (Å): 4.5878 4.5878 4.5878
angles (deg): 60.00 60.00 60.00
Site moments in Bohr magnetons follow the coordinates.
Element x y z (fractional)
Rh1 0.7500 0.7500 0.7500  0.23
Rh2 0.2500 0.2500 0.2500  0.23
Tc1 0.0000 0.0000 0.0000  1.88
I1 0.5000 0.5000 0.5000  0.01

Entry 2
TcRh2I: optimized geometry, PBE.

Results
DOS(E_F), states/eV per cell: 4.17
Space-group type: I-42d (122)

a b c (Å): 6.1610 6.1610 6.6471
angles (deg): 62.39 62.39 90.00
Element x y z (fractional)
Tc1 0.2500 0.7500 0.5000
Tc2 0.5000 0.5000 0.0000
I1 0.7500 0.2500 0.5000
I2 0.0000 0.0000 0.0000
Rh1 0.5851 0.1250 0.2500
Rh2 0.8750 0.8351 0.7500
Rh3 0.3750 0.4149 0.7500
Rh4 0.1649 0.6250 0.2500

List of relative energies, unit kJ/mol of atoms: entry 1 3.9; entry 2 0.0

Entry 1
TcRhI2: optimized geometry, PBE.

Results
DOS(E_F), states/eV per cell: 6.53
Space-group type: I-42d (122)

a b c (Å): 5.9941 5.9941 7.3539
angles (deg): 65.95 65.95 90.00
Element x y z (fractional)
Tc1 0.2500 0.7500 0.5000
Tc2 0.5000 0.5000 0.0000
I1 0.1278 0.6250 0.2500
I2 0.3750 0.3778 0.7500
I3 0.8750 0.8722 0.7500
I4 0.6222 0.1250 0.2500
Rh1 0.0000 0.0000 0.0000
Rh2 0.7500 0.2500 0.5000

Entry 2
TcRhI2: optimized geometry, PBE.

Results
DOS(E_F), states/eV per cell: 3.95
Space-group type: Fm-3m (225)

a b c (Å): 4.8331 4.8331 4.8331
angles (deg): 60.00 60.00 60.00
Site moments in Bohr magnetons follow the coordinates.
Element x y z (fractional)
I1 0.7500 0.7500 0.7500  0.01
I2 0.2500 0.2500 0.2500  0.01
Tc1 0.0000 0.0000 0.0000  1.04
Rh1 0.5000 0.5000 0.5000  0.48

List of relative energies, unit kJ/mol of atoms: entry 1 0.0; entry 2 16.4

Entry 1
TcTeRhI2: optimized geometry, PBE.

Results
DOS(E_F), states/eV per cell: 8.04
Space-group type: P4/mmm (123)

a b c (Å): 5.5614 5.5614 5.0046
angles (deg): 90.00 90.00 90.00
Site moments in Bohr magnetons follow the coordinates.
Element x y z (fractional)
Tc1 0.0000 0.0000 0.0000  0.68
I1 0.0000 0.5000 0.0000  0.09
I2 0.5000 0.0000 0.0000  0.09
Te1 0.0000 0.0000 0.5000  -0.01
Rh1 0.5000 0.5000 0.5000  1.38

Entry 2
TcTeRhI2: optimized geometry, PBE.

Results
DOS(E_F), states/eV per cell: 3.11
Space-group type: P4/mmm (123)

a b c (Å): 5.3519 5.3519 5.3066
angles (deg): 90.00 90.00 90.00
Site moments in Bohr magnetons follow the coordinates.
Element x y z (fractional)
Rh1 0.0000 0.0000 0.0000  -0.01
I1 0.0000 0.5000 0.0000  0.08
I2 0.5000 0.0000 0.0000  0.08
Tc1 0.5000 0.5000 0.5000  3.92
Te1 0.0000 0.0000 0.5000  0.01

List of relative energies, unit kJ/mol of atoms: entry 1 12.1; entry 2 0.0